1.
Computed, not measured: a geometry-optimized Pa2TaBe2N6 structure at the GGA-PBE level of DFT.

Cell lengths 5.5033, 5.5033, 6.0510 Å; angles 90.00, 90.00, 120.00 degrees
Last column: nearest neighbours and their distance in Å.
Positions (direct):
Pa 0.3333 0.6667 0.8350  3 N 2.22
Pa 0.6667 0.3333 0.1650  3 N 2.22
Ta 0.0000 0.0000 0.0000  6 N 2.10
Be 0.3333 0.6667 0.2650  3 N 1.65
Be 0.6667 0.3333 0.7350  3 N 1.65
N 0.3589 0.2774 0.8205  1 Be 1.65
N 0.9185 0.6411 0.8205  1 Be 1.65
N 0.7226 0.0815 0.8205  1 Be 1.65
N 0.6411 0.7226 0.1795  1 Be 1.65
N 0.0815 0.3589 0.1795  1 Be 1.65
N 0.2774 0.9185 0.1795  1 Be 1.65

The size of the total moment comes out at 0.81 μB per formula unit.

2.
Computed, not measured: a geometry-optimized Ba3ScPb2O6 structure at the GGA-PBE level of DFT.

Cell lengths 6.0970, 6.0970, 7.1215 Å; angles 90.00, 90.00, 120.00 degrees
Last column: nearest neighbours and their distance in Å.
Positions (direct):
Ba 0.3333 0.6667 0.6228  9 O 2.78-3.07
Ba 0.6667 0.3333 0.3772  9 O 2.78-3.07
Ba 0.0000 0.0000 0.0000  6 O 2.88
Sc 0.0000 0.0000 0.5000  6 O 2.14
Pb 0.6667 0.3333 0.8649  3 O 2.23
Pb 0.3333 0.6667 0.1351  3 O 2.23
O 0.6719 0.8360 0.3234  1 Sc 2.14, 1 Pb 2.23
O 0.1640 0.3281 0.3234  1 Sc 2.14, 1 Pb 2.23
O 0.1640 0.8360 0.3234  1 Sc 2.14, 1 Pb 2.23
O 0.8360 0.6719 0.6766  1 Sc 2.14, 1 Pb 2.23
O 0.3281 0.1640 0.6766  1 Sc 2.14, 1 Pb 2.23
O 0.8360 0.1640 0.6766  1 Sc 2.14, 1 Pb 2.23

The size of the total moment comes out at 0.26 μB per formula unit.

3.
Computed, not measured: a geometry-optimized BaTlCr2 structure at the GGA-PBE level of DFT.

Cell lengths 4.6683, 4.6683, 6.7132 Å; angles 69.54, 69.54, 60.03 degrees
Last column: nearest neighbours and their distance in Å.
Positions (direct):
Ba 0.2562 0.2562 0.2325  7 Cr 3.59-3.78, 4 Tl 3.59-3.71
Cr 0.0607 0.0607 0.8173  3 Cr 2.70, 3 Tl 2.89
Cr 0.7322 0.7322 0.8028  3 Cr 2.70, 3 Tl 2.86
Tl 0.4508 0.4508 0.6475  6 Cr 2.86-2.89

As for the offset from the most stable computed form: 0.0 meV/atom. The size of the total moment comes out at 0.06 μB per formula unit. Its formation energy is 0.39 eV per atom.

4.
Computed, not measured: a geometry-optimized NdHfPaN4 structure at the GGA-PBE level of DFT.

Cell lengths 5.8325, 5.8820, 6.7605 Å; angles 90.00, 115.55, 90.00 degrees
Last column: nearest neighbours and their distance in Å.
Positions (direct):
Nd 0.6067 0.7500 0.2135  1 N 2.23
Nd 0.3933 0.2500 0.7865  1 N 2.23
Hf 0.2558 0.7500 0.5116  5 N 2.05-2.07
Hf 0.7442 0.2500 0.4884  5 N 2.05-2.07
Pa 0.1148 0.2500 0.2296  1 N 2.06
Pa 0.8852 0.7500 0.7704  1 N 2.06
N 0.9464 0.2500 0.8927  1 Pa 2.06
N 0.4242 0.7500 0.8484  1 Hf 2.05, 1 Nd 2.23
N 0.0536 0.7500 0.1073  1 Pa 2.06
N 0.5758 0.2500 0.1516  1 Hf 2.05, 1 Nd 2.23
N 0.5000 0.5000 0.5000  2 Hf 2.07
N 0.0000 0.0000 0.5000  2 Hf 2.07
N 0.5000 0.0000 0.5000  2 Hf 2.07
N 0.0000 0.5000 0.5000  2 Hf 2.07

The size of the total moment comes out at 0.00 μB per formula unit.

5.
Computed, not measured: a geometry-optimized SrCd4Ni structure at the GGA-PBE level of DFT.

Cell lengths 4.2642, 7.5009, 8.7810 Å; angles 90.00, 90.00, 90.00 degrees
Last column: nearest neighbours and their distance in Å.
Positions (direct):
Sr 0.0000 0.5941 0.7500  1 Ni 3.02
Sr 0.0000 0.4059 0.2500  1 Ni 3.02
Cd 0.0000 0.0000 0.5000  2 Ni 2.63
Cd 0.0000 0.0000 0.0000  2 Ni 2.63
Cd 0.5000 0.9508 0.7500  2 Ni 2.80, 6 Cd 3.08-3.11
Cd 0.5000 0.0492 0.2500  2 Ni 2.80, 6 Cd 3.08-3.11
Cd 0.5000 0.6978 0.0629  2 Ni 2.82, 1 Cd 3.11
Cd 0.5000 0.3021 0.9371  2 Ni 2.82, 1 Cd 3.11
Cd 0.5000 0.6978 0.4371  2 Ni 2.82, 1 Cd 3.11
Cd 0.5000 0.3021 0.5629  2 Ni 2.82, 1 Cd 3.11
Ni 0.0000 0.1921 0.7500  8 Cd 2.63-2.82
Ni 0.0000 0.8079 0.2500  8 Cd 2.63-2.82

As for the offset from the most stable computed form: 0.0 meV/atom. The size of the total moment comes out at 0.00 μB per formula unit. Its formation energy is -0.18 eV per atom.

6.
Computed, not measured: a geometry-optimized BeGeAsSe2 structure at the GGA-PBE level of DFT.

Cell lengths 4.8473, 4.8473, 4.2192 Å; angles 90.00, 90.00, 90.00 degrees
Last column: nearest neighbours and their distance in Å.
Positions (direct):
Be 0.0000 0.0000 0.0000  2 As 2.11
As 0.0000 0.0000 0.5000  2 Be 2.11
Ge 0.5000 0.5000 0.5000  8 Se 3.21, 4 As 3.43
Se 0.0000 0.5000 0.0000  2 Be 2.42
Se 0.5000 0.0000 0.0000  2 Be 2.42

As for the offset from the most stable computed form: 0.0 meV/atom. The size of the total moment comes out at 0.00 μB per formula unit.

Record-wise VASP energy values, in eV/atom: -8.9775; -6.3294; -5.4949; -9.5326; -2.0345; -3.6581